1.
# Mg2CdAs

Crystalline Mg2CdAs at its relaxed geometry (PBE-GGA, the Alexandria database).

Unit cell a=5.1691 b=3.1065 c=5.1735 alpha=90.04 beta=90.00 gamma=90.00
With the nearest neighbours (Å) after each atom.
Fractional positions:
Cd (0.5000, 0.6252, 0.8462)  8 Mg 3.01-3.03, 2 Cd 3.11
As (0.0000, 0.6244, 0.4032)  8 Mg 3.01-3.03, 2 As 3.11
Mg (0.5000, 0.1252, 0.3456)  4 Cd 3.01-3.02, 4 As 3.03, 2 Mg 3.11
Mg (0.0000, 0.1251, 0.9049)  4 As 3.01-3.02, 4 Cd 3.03, 2 Mg 3.11

Results
ΔE to the lowest computed polymorph	81.1	meV/atom
ΔE_f	-149	meV per atom

2.
# PuPd4Au2

Crystalline PuPd4Au2 at its relaxed geometry (PBE-GGA, the Alexandria database).

Unit cell a=7.0253 b=7.0330 c=7.0262 alpha=114.14 beta=114.10 gamma=100.49
With the nearest neighbours (Å) after each atom.
Fractional positions:
Au (0.7180, 0.3560, 0.9328)  8 Pd 2.77-2.94, 2 Au 3.08-3.09
Au (0.6452, 0.5773, 0.3626)  8 Pd 2.77-2.95, 2 Au 3.08-3.09
Au (0.2149, 0.2823, 0.6378)  8 Pd 2.77-2.95, 2 Au 3.09
Au (0.4226, 0.7854, 0.0684)  8 Pd 2.77-2.95, 2 Au 3.09
Pu (0.2494, 0.7495, 0.4993)  4 Pd 2.72
Pu (0.9998, 0.9992, 0.9991)  8 Pd 2.78-2.85
Pd (0.7894, 0.0535, 0.5941)  5 Pd 2.72-2.98, 4 Au 2.77-2.95, 1 Pu 2.84
Pd (0.1712, 0.4238, 0.0611)  3 Pd 2.72-2.83, 2 Pu 2.72-2.78, 4 Au 2.79-2.89
Pd (0.8046, 0.2101, 0.2635)  5 Pd 2.72-2.98, 4 Au 2.77-2.95, 1 Pu 2.85
Pd (0.8902, 0.8296, 0.2538)  3 Pd 2.72-2.83, 2 Pu 2.72-2.79, 4 Au 2.79-2.90
Pd (0.5750, 0.6369, 0.7466)  3 Pd 2.72-2.83, 2 Pu 2.72-2.79, 4 Au 2.79-2.90
Pd (0.3640, 0.1093, 0.9384)  3 Pd 2.72-2.83, 2 Pu 2.72-2.79, 4 Au 2.79-2.90
Pd (0.9465, 0.5404, 0.7368)  5 Pd 2.72-2.98, 4 Au 2.77-2.94, 1 Pu 2.84
Pd (0.4592, 0.1966, 0.4056)  5 Pd 2.72-2.98, 4 Au 2.77-2.95, 1 Pu 2.85

Results
ΔE_f	-214	meV per atom

3.
# Sm2ThTl2Cd2

Crystalline Sm2ThTl2Cd2 at its relaxed geometry (PBE-GGA, the Alexandria database).

Unit cell a=5.0650 b=5.0650 c=9.3355 alpha=74.26 beta=74.26 gamma=60.00
With the nearest neighbours (Å) after each atom.
Fractional positions:
Th (0.0000, 0.0000, 0.0000)  6 Tl 3.36, 2 Sm 3.50, 6 Cd 3.75
Sm (0.8686, 0.8686, 0.3942)  3 Cd 3.14, 3 Tl 3.46, 3 Sm 3.47, 1 Th 3.50
Sm (0.1314, 0.1314, 0.6058)  3 Cd 3.14, 3 Tl 3.46, 3 Sm 3.47, 1 Th 3.50
Cd (0.5785, 0.5785, 0.2645)  3 Tl 3.01, 3 Sm 3.14
Cd (0.4215, 0.4215, 0.7355)  3 Tl 3.01, 3 Sm 3.14
Tl (0.2713, 0.2713, 0.1861)  3 Cd 3.01, 3 Th 3.36
Tl (0.7287, 0.7287, 0.8139)  3 Cd 3.01, 3 Th 3.36

Results
ΔE_f	-86	meV per atom